1.
The following is a meta-GGA SCAN calculation of a PBEsol-optimized structure of K3RbFe, from the Alexandria database.

As for the formation energy from the elements: 5.78 eV/f.u. The volume is 402 Å³ per cell. Its density of states at the Fermi level is 13.23 states/eV/cell. The spin magnetization is 3.11 μB per cell.

The structure belongs to space group Pm-3m (No. 221); the cell edges are 7.3774, 7.3774 and 7.3774 Å and the angles 90.00°, 90.00° and 90.00°. The inequivalent atoms are K at (0.0000, 0.0000, 0.5000), Rb at (0.0000, 0.0000, 0.0000) and Fe at (0.5000, 0.5000, 0.5000).

2.
The following is a meta-GGA SCAN calculation of a PBEsol-optimized structure of LaCrH2Pt, from the Alexandria database.

The volume is 91 Å³ per cell. Its density of states at the Fermi level is 2.16 states/eV/cell. For the total energy, the calculation gives -27.275 eV/atom. The spin magnetization is 4.77 μB per cell.

The structure belongs to space group P4/mmm (No. 123); the cell edges are 3.9604, 3.9604 and 5.8100 Å and the angles 90.00°, 90.00° and 90.00°. The inequivalent atoms are La at (0.0000, 0.0000, 0.0000), Cr at (0.0000, 0.0000, 0.5000), H at (0.0000, 0.5000, 0.0000) and Pt at (0.5000, 0.5000, 0.5000).

3.
The following is a meta-GGA SCAN calculation of a PBEsol-optimized structure of BeTl2Re, from the Alexandria database.

The energy above the most stable polymorph in this dataset comes out at 704.2 meV/atom. As for the formation energy from the elements: 5.29 eV/f.u. The volume is 285 Å³ per cell. Its density of states at the Fermi level is 7.80 states/eV/cell. The spin magnetization is 0.00 μB per cell.

The structure belongs to space group Fm-3m (No. 225); the cell edges are 6.5772, 6.5772 and 6.5772 Å and the angles 90.00°, 90.00° and 90.00°. The inequivalent atoms are Be at (0.0000, 0.0000, 0.0000), Tl at (0.2500, 0.2500, 0.2500) and Re at (0.0000, 0.0000, 0.5000).

4.
The following is a meta-GGA SCAN calculation of a PBEsol-optimized structure of Dy3Os, from the Alexandria database.

As for the formation energy from the elements: -1.49 eV/f.u. The volume is 403 Å³ per cell. Its density of states at the Fermi level is 10.06 states/eV/cell. The spin magnetization is 0.00 μB per cell.

The structure belongs to space group Pnma (No. 62); the cell edges are 7.2932, 8.9166 and 6.2032 Å and the angles 90.00°, 90.00° and 90.00°. The inequivalent atoms are Dy at (0.0381, 0.2500, 0.1283), Dy at (0.1757, 0.0624, 0.6665) and Os at (0.1167, 0.7500, 0.4579).

5.
The following is a meta-GGA SCAN calculation of a PBEsol-optimized structure of Sr5Mg19Ge12, from the Alexandria database.

As for the formation energy from the elements: -15.83 eV/f.u. The volume is 802 Å³ per cell. Its density of states at the Fermi level is 4.75 states/eV/cell. The spin magnetization is 0.00 μB per cell.

The structure belongs to space group P-62m (No. 189); the cell edges are 14.5683, 14.5683 and 4.3640 Å and the angles 90.00°, 90.00° and 120.00°. The inequivalent atoms are Sr at (0.0000, 0.1841, 0.0000), Sr at (0.3333, 0.6667, 0.5000), Mg at (0.0000, 0.0000, 0.5000), Mg at (0.0000, 0.5529, 0.5000), Mg at (0.0000, 0.7163, 0.0000), Mg at (0.1247, 0.4803, 0.0000), Mg at (0.1746, 0.7994, 0.5000), Ge at (0.0000, 0.3616, 0.5000), Ge at (0.0000, 0.8249, 0.5000) and Ge at (0.1681, 0.6834, 0.0000).

6.
The following is a meta-GGA SCAN calculation of a PBEsol-optimized structure of Ba2MgAu, from the Alexandria database.

As for the formation energy from the elements: -1.75 eV/f.u. The volume is 139 Å³ per cell. Its density of states at the Fermi level is 4.17 states/eV/cell. The spin magnetization is 0.11 μB per cell.

The structure belongs to space group P4/mmm (No. 123); the cell edges are 3.9897, 3.9897 and 8.7381 Å and the angles 90.00°, 90.00° and 90.00°. The inequivalent atoms are Ba at (0.0000, 0.0000, 0.2155), Mg at (0.5000, 0.5000, 0.5000) and Au at (0.5000, 0.5000, 0.0000).

7.
The following is a meta-GGA SCAN calculation of a PBEsol-optimized structure of ZrSc2Hg, from the Alexandria database.

As for the formation energy from the elements: -1.37 eV/f.u. The volume is 87 Å³ per cell. Its density of states at the Fermi level is 3.22 states/eV/cell. The spin magnetization is 0.00 μB per cell.

The structure belongs to space group P4/mmm (No. 123); the cell edges are 3.2556, 3.2556 and 8.1640 Å and the angles 90.00°, 90.00° and 90.00°. The inequivalent atoms are Zr at (0.0000, 0.0000, 0.0000), Sc at (0.5000, 0.5000, 0.2619) and Hg at (0.0000, 0.0000, 0.5000).

8.
The following is a meta-GGA SCAN calculation of a PBEsol-optimized structure of BaSi2Ni, from the Alexandria database.

The volume is 306 Å³ per cell. Its density of states at the Fermi level is 7.95 states/eV/cell. As for the formation energy without anion corrections: 0.627 eV per atom. The spin magnetization is 0.00 μB per cell.

The structure belongs to space group F-43m (No. 216); the cell edges are 6.7398, 6.7398 and 6.7398 Å and the angles 90.00°, 90.00° and 90.00°. The inequivalent atoms are Ba at (0.0000, 0.0000, 0.0000), Si at (0.0000, 0.0000, 0.5000), Si at (0.2500, 0.2500, 0.7500) and Ni at (0.2500, 0.2500, 0.2500).